VASP calculation (GGA-PBE) on a relaxed TlH2Ru2 crystal.

Output
energy = -25.39 eV/f.u.
D(E_F) = 6.41 states/eV per cell

Lattice parameters (Å, degrees): 3.764 3.764 5.258 69.03 69.03 90.00
Fractional coordinates of all 5 atoms:
H 0.303 0.303 0.393
Ru 0.750 0.250 0.500
Tl 0.000 0.000 0.000
H 0.697 0.697 0.607
Ru 0.250 0.750 0.500